# ZrTiPdCl2

ZrTiPdCl2 at its PBEsol-relaxed geometry (SCAN, Alexandria).

For the formation energy from raw total energies, the calculation gives 0.43 eV per atom. As for the density of states at the Fermi level: 3.58 states/eV/cell.

The space group is P4/mmm (No. 123) and the conventional cell measures 4.6438, 4.6438 and 4.9589 Å, with angles of 90.00, 90.00 and 90.00 degrees. The inequivalent atoms are Zr at (0.0000, 0.0000, 0.0000), Ti at (0.5000, 0.5000, 0.0000), Pd at (0.5000, 0.5000, 0.5000) and Cl at (0.0000, 0.5000, 0.5000).


# MgAl2W

MgAl2W at its PBEsol-relaxed geometry (SCAN, Alexandria).

As for the density of states at the Fermi level: 6.53 states/eV/cell. The energy of formation from the pure elements is 0.69 eV per atom.

The space group is I-42d (No. 122) and the conventional cell measures 7.1090, 7.1090 and 5.5337 Å, with angles of 90.00, 90.00 and 90.00 degrees. The inequivalent atoms are Mg at (0.0000, 0.0000, 0.0000), Al at (0.2426, 0.2500, 0.6250) and W at (0.0000, 0.0000, 0.5000).


# MgRe2Mo

MgRe2Mo at its PBEsol-relaxed geometry (SCAN, Alexandria).

As for the density of states at the Fermi level: 2.41 states/eV/cell. The energy of formation from the pure elements is 0.26 eV per atom.

The space group is P4mm (No. 99) and the conventional cell measures 2.7917, 2.7917 and 8.0878 Å, with angles of 90.00, 90.00 and 90.00 degrees. The inequivalent atoms are Mg at (0.0000, 0.0000, 0.0000), Re at (0.0000, 0.0000, 0.5194), Re at (0.5000, 0.5000, 0.7383) and Mo at (0.5000, 0.5000, 0.2793).


# Al2Cr

Al2Cr at its PBEsol-relaxed geometry (SCAN, Alexandria).

As for the density of states at the Fermi level: 6.44 states/eV/cell. The energy of formation from the pure elements is -0.15 eV per atom.

The space group is Cmcm (No. 63) and the conventional cell measures 8.7278, 4.3341 and 4.3125 Å, with angles of 90.00, 90.00 and 90.00 degrees. The inequivalent atoms are Al at (0.1565, 0.2060, 0.2500) and Cr at (0.0000, 0.2973, 0.7500).


# MnHgRu

MnHgRu at its PBEsol-relaxed geometry (SCAN, Alexandria).

As for the excess energy over the best structure of this formula in the dataset: 0 meV per atom. As for the density of states at the Fermi level: 3.90 states/eV/cell. The energy of formation from the pure elements is 0.20 eV per atom.

The space group is I4mm (No. 107) and the conventional cell measures 2.7927, 2.7927 and 11.2534 Å, with angles of 90.00, 90.00 and 90.00 degrees. The inequivalent atoms are Mn at (0.0000, 0.0000, 0.0000), Hg at (0.0000, 0.0000, 0.3177) and Ru at (0.0000, 0.0000, 0.6230).


# CoAg2HS

CoAg2HS at its PBEsol-relaxed geometry (SCAN, Alexandria).

For the total energy, the calculation gives -90.14 eV/cell. As for the density of states at the Fermi level: 2.27 states/eV/cell.

The space group is P4/mmm (No. 123) and the conventional cell measures 4.8501, 4.8501 and 2.9815 Å, with angles of 90.00, 90.00 and 90.00 degrees. The inequivalent atoms are Co at (0.0000, 0.0000, 0.0000), Ag at (0.0000, 0.5000, 0.5000), H at (0.5000, 0.5000, 0.0000) and S at (0.5000, 0.5000, 0.5000).


# SrReNiF2

SrReNiF2 at its PBEsol-relaxed geometry (SCAN, Alexandria).

For the formation energy from raw total energies, the calculation gives -0.30 eV per atom. As for the density of states at the Fermi level: 2.36 states/eV/cell.

The space group is P4/mmm (No. 123) and the conventional cell measures 4.2931, 4.2931 and 6.0787 Å, with angles of 90.00, 90.00 and 90.00 degrees. The inequivalent atoms are Sr at (0.0000, 0.0000, 0.0000), Re at (0.5000, 0.5000, 0.5000), Ni at (0.0000, 0.0000, 0.5000) and F at (0.0000, 0.5000, 0.0000).


# ReAgAs2S

ReAgAs2S at its PBEsol-relaxed geometry (SCAN, Alexandria).

For the formation energy from raw total energies, the calculation gives 1.50 eV per atom. As for the density of states at the Fermi level: 2.52 states/eV/cell.

The space group is P4/mmm (No. 123) and the conventional cell measures 4.7134, 4.7134 and 4.4543 Å, with angles of 90.00, 90.00 and 90.00 degrees. The inequivalent atoms are Re at (0.0000, 0.0000, 0.0000), Ag at (0.5000, 0.5000, 0.0000), As at (0.0000, 0.5000, 0.5000) and S at (0.5000, 0.5000, 0.5000).


# Ce4Ge3

Ce4Ge3 at its PBEsol-relaxed geometry (SCAN, Alexandria).

As for the density of states at the Fermi level: 46.05 states/eV/cell. The energy of formation from the pure elements is -0.77 eV per atom.

The space group is I-43d (No. 220) and the conventional cell measures 8.7800, 8.7800 and 8.7800 Å, with angles of 90.00, 90.00 and 90.00 degrees. The inequivalent atoms are Ce at (0.0743, 0.4257, 0.5743) and Ge at (0.0000, 0.2500, 0.8750).


# LiIr2Ru

LiIr2Ru at its PBEsol-relaxed geometry (SCAN, Alexandria).

As for the excess energy over the best structure of this formula in the dataset: 43 meV per atom. As for the density of states at the Fermi level: 4.29 states/eV/cell. The energy of formation from the pure elements is 0.01 eV per atom.

The space group is P2/m (No. 10) and the conventional cell measures 4.6822, 2.6293 and 4.7030 Å, with angles of 90.00, 112.75 and 90.00 degrees. The inequivalent atoms are Li at (0.0000, 0.0000, 0.0000), Ir at (0.5000, 0.0000, 0.5000), Ir at (0.5000, 0.5000, 0.0000) and Ru at (0.0000, 0.5000, 0.5000).


# La2Cd17

La2Cd17 at its PBEsol-relaxed geometry (SCAN, Alexandria).

As for the density of states at the Fermi level: 11.14 states/eV/cell. The energy of formation from the pure elements is -0.25 eV per atom.

The space group is P6_3/mmc (No. 194) and the conventional cell measures 9.9291, 9.9291 and 9.7736 Å, with angles of 90.00, 90.00 and 120.00 degrees. The inequivalent atoms are La at (0.0000, 0.0000, 0.2500), La at (0.3333, 0.6667, 0.2500), Cd at (0.0000, 0.5000, 0.0000), Cd at (0.0379, 0.3653, 0.7500), Cd at (0.1608, 0.3217, 0.0272) and Cd at (0.3333, 0.6667, 0.5994).


# Rh2WBr

Rh2WBr at its PBEsol-relaxed geometry (SCAN, Alexandria).

For the formation energy from raw total energies, the calculation gives 0.60 eV per atom. As for the excess energy over the best structure of this formula in the dataset: 0 meV per atom. As for the density of states at the Fermi level: 3.35 states/eV/cell.

The space group is P4mm (No. 99) and the conventional cell measures 2.9289, 2.9289 and 7.0476 Å, with angles of 90.00, 90.00 and 90.00 degrees. The inequivalent atoms are Rh at (0.0000, 0.0000, 0.0000), Rh at (0.5000, 0.5000, 0.2679), W at (0.0000, 0.0000, 0.4972) and Br at (0.5000, 0.5000, 0.7484).


# Er4Co3

Er4Co3 at its PBEsol-relaxed geometry (SCAN, Alexandria).

As for the density of states at the Fermi level: 12.88 states/eV/cell. The energy of formation from the pure elements is -0.12 eV per atom.

The space group is P-3 (No. 147) and the conventional cell measures 10.9447, 10.9447 and 3.9209 Å, with angles of 90.00, 90.00 and 120.00 degrees. The inequivalent atoms are Er at (0.0249, 0.7790, 0.2496), Er at (0.1347, 0.5142, 0.2515), Co at (0.0000, 0.0000, 0.5000), Co at (0.1557, 0.7189, 0.7486) and Co at (0.3333, 0.6667, 0.7528).


# Ho6CoBi2

Ho6CoBi2 at its PBEsol-relaxed geometry (SCAN, Alexandria).

As for the density of states at the Fermi level: 9.06 states/eV/cell. The energy of formation from the pure elements is -0.51 eV per atom.

The space group is P-62m (No. 189) and the conventional cell measures 8.2198, 8.2198 and 4.0010 Å, with angles of 90.00, 90.00 and 120.00 degrees. The inequivalent atoms are Ho at (0.0000, 0.2310, 0.0000), Ho at (0.0000, 0.6070, 0.5000), Co at (0.0000, 0.0000, 0.5000) and Bi at (0.3333, 0.6667, 0.0000).


# Y2MnRe

Y2MnRe at its PBEsol-relaxed geometry (SCAN, Alexandria).

As for the excess energy over the best structure of this formula in the dataset: 89 meV per atom. As for the density of states at the Fermi level: 14.94 states/eV/cell. The energy of formation from the pure elements is 0.34 eV per atom.

The space group is F-43m (No. 216) and the conventional cell measures 6.7413, 6.7413 and 6.7413 Å, with angles of 90.00, 90.00 and 90.00 degrees. The inequivalent atoms are Y at (0.0000, 0.0000, 0.0000), Y at (0.2500, 0.2500, 0.2500), Mn at (0.2500, 0.2500, 0.7500) and Re at (0.0000, 0.0000, 0.5000).


# TbDyIn2

TbDyIn2 at its PBEsol-relaxed geometry (SCAN, Alexandria).

As for the density of states at the Fermi level: 6.95 states/eV/cell. The energy of formation from the pure elements is -0.62 eV per atom.

The space group is Fm-3m (No. 225) and the conventional cell measures 7.3932, 7.3932 and 7.3932 Å, with angles of 90.00, 90.00 and 90.00 degrees. The inequivalent atoms are Tb at (0.0000, 0.0000, 0.0000), Dy at (0.0000, 0.0000, 0.5000) and In at (0.2500, 0.2500, 0.2500).


# CuPbSe3

CuPbSe3 at its PBEsol-relaxed geometry (SCAN, Alexandria).

For the formation energy from raw total energies, the calculation gives 0.96 eV per atom. As for the density of states at the Fermi level: 5.63 states/eV/cell.

The space group is Pm-3m (No. 221) and the conventional cell measures 5.3402, 5.3402 and 5.3402 Å, with angles of 90.00, 90.00 and 90.00 degrees. The inequivalent atoms are Cu at (0.0000, 0.0000, 0.0000), Pb at (0.5000, 0.5000, 0.5000) and Se at (0.0000, 0.5000, 0.5000).


# GaCoTe2I

GaCoTe2I at its PBEsol-relaxed geometry (SCAN, Alexandria).

For the formation energy from raw total energies, the calculation gives 0.30 eV per atom. As for the density of states at the Fermi level: 4.01 states/eV/cell.

The space group is P4/mmm (No. 123) and the conventional cell measures 4.9151, 4.9151 and 5.5339 Å, with angles of 90.00, 90.00 and 90.00 degrees. The inequivalent atoms are Ga at (0.0000, 0.0000, 0.0000), Co at (0.5000, 0.5000, 0.5000), Te at (0.0000, 0.5000, 0.5000) and I at (0.5000, 0.5000, 0.0000).


# Ba2SrCa

Ba2SrCa at its PBEsol-relaxed geometry (SCAN, Alexandria).

As for the excess energy over the best structure of this formula in the dataset: 0 meV per atom. As for the density of states at the Fermi level: 4.08 states/eV/cell. The energy of formation from the pure elements is 0.03 eV per atom.

The space group is P4mm (No. 99) and the conventional cell measures 4.7650, 4.7650 and 9.1563 Å, with angles of 90.00, 90.00 and 90.00 degrees. The inequivalent atoms are Ba at (0.0000, 0.0000, 0.0000), Ba at (0.5000, 0.5000, 0.2730), Sr at (0.5000, 0.5000, 0.7405) and Ca at (0.0000, 0.0000, 0.5135).


# Cr2SiP

Cr2SiP at its PBEsol-relaxed geometry (SCAN, Alexandria).

For the formation energy from raw total energies, the calculation gives -0.15 eV per atom. As for the excess energy over the best structure of this formula in the dataset: 0 meV per atom. As for the density of states at the Fermi level: 1.79 states/eV/cell.

The space group is P4/mmm (No. 123) and the conventional cell measures 2.8032, 2.8032 and 5.7216 Å, with angles of 90.00, 90.00 and 90.00 degrees. The inequivalent atoms are Cr at (0.0000, 0.0000, 0.2318), Si at (0.5000, 0.5000, 0.5000) and P at (0.5000, 0.5000, 0.0000).


# Li5Ni4O8

Li5Ni4O8 at its PBEsol-relaxed geometry (SCAN, Alexandria).

For the formation energy from raw total energies, the calculation gives -1.60 eV per atom. As for the density of states at the Fermi level: 26.55 states/eV/cell.

The space group is P4_332 (No. 212) and the conventional cell measures 8.2202, 8.2202 and 8.2202 Å, with angles of 90.00, 90.00 and 90.00 degrees. The inequivalent atoms are Li at (0.0533, 0.0533, 0.0533), Li at (0.1067, 0.8567, 0.8750), Ni at (0.1241, 0.6250, 0.1259), Ni at (0.1250, 0.8750, 0.3750), O at (0.1094, 0.8808, 0.6162) and O at (0.1182, 0.6182, 0.8818).